Entry 1:
# GdHf3

A relaxed structure of GdHf3 (GGA-PBE, Alexandria via LeMat-Bulk).

Cell: 3.2667 5.1670 5.7578 Å, 90.00 90.00 90.00°
Closest atoms and distances in Å follow each position.
Element x y z (fractional)
Gd1 0.0000 0.5000 0.3288  10 Hf 3.24-3.31, 2 Gd 3.27
Hf1 0.5000 0.5000 0.8288  8 Hf 3.13-3.27, 4 Gd 3.31
Hf2 0.5000 0.0000 0.5210  8 Hf 3.13-3.48, 4 Gd 3.25
Hf3 0.0000 0.0000 0.9880  10 Hf 3.15-3.48, 2 Gd 3.24

Output
Space-group type: Pmm2 (25)
Spin magnetization: 7.0 Bohr magnetons per cell

---

Entry 2:
# ReNiIr2

A relaxed structure of ReNiIr2 (GGA-PBE, Alexandria via LeMat-Bulk).

Cell: 8.7714 8.7714 8.7714 Å, 17.94 17.94 17.94°
Closest atoms and distances in Å follow each position.
Element x y z (fractional)
Ir1 0.9989 0.9989 0.9989  3 Ni 2.65, 3 Re 2.70, 6 Ir 2.74
Ir2 0.5011 0.5011 0.5011  3 Ni 2.65, 3 Re 2.70, 6 Ir 2.74
Re1 0.7500 0.7500 0.7500  6 Ir 2.70, 6 Re 2.74
Ni1 0.2500 0.2500 0.2500  6 Ir 2.65, 6 Ni 2.74

Output
Space-group type: R-3m (166)
Spin magnetization: 0.0 Bohr magnetons per cell

---

Going through the records in order, we get excess energy over the best structure of this formula in the dataset values of 0.000 0.443 eV/f.u..
Going through the records in order, we get DFT formation energy values of 103 -34 meV per atom.